Density functional theory data (PBE-GGA) for crystalline La2Zn5Au5 at its relaxed geometry.

Geometry as POSCAR:
```
La2Zn5Au5
1.0
4.5204 0.0000 0.0000
0.0000 5.4368 0.0000
0.0000 0.0000 9.7734
La Zn Au
2 5 5
direct
0.0000 0.0000 0.0000 La
0.0000 0.5000 0.5000 La
0.5000 0.0000 0.5000 Zn
0.5000 0.2494 0.2515 Zn
0.5000 0.2494 0.7485 Zn
0.5000 0.7506 0.2515 Zn
0.5000 0.7506 0.7485 Zn
0.0000 0.0000 0.3334 Au
0.0000 0.0000 0.6666 Au
0.0000 0.5000 0.1805 Au
0.0000 0.5000 0.8195 Au
0.5000 0.5000 0.0000 Au
```

Calculated values
Energy of formation from the pure elements (eV/atom): -0.516